This record from the Alexandria database describes a geometry-optimized TlAs2Au structure. The functional is PBE.

Cell lengths 5.5326, 5.5326, 5.8324 Å; angles 70.61, 70.61, 37.17 degrees
Atoms (fractional coordinates):
Tl (0.2500, 0.2500, 0.2500)
Au (0.7500, 0.7500, 0.7500)
As (0.0328, 0.0328, 0.8762)
As (0.4672, 0.4672, 0.6238)

Output
ρ ... 9.1 g/cm³
Calculated formation energy ... 100 meV per atom
ΔE to the lowest computed polymorph ... 0.188 eV per atom
Size of the total moment ... 0.00 μB per cell